Material: GdYTm2
Method: DFT, PBE
State: optimized geometry

a b c (Å): 7.9704 7.9704 7.9704
angles (deg): 90.00 90.00 90.00
Last column: nearest neighbours and their distance in Å.
Element x y z (fractional)
Gd 0.0000 0.0000 0.0000  8 Tm 3.45
Gd 0.0000 0.5000 0.5000  8 Tm 3.45
Gd 0.5000 0.0000 0.5000  8 Tm 3.45
Gd 0.5000 0.5000 0.0000  8 Tm 3.45
Y 0.0000 0.0000 0.5000  8 Tm 3.45
Y 0.0000 0.5000 0.0000  8 Tm 3.45
Y 0.5000 0.0000 0.0000  8 Tm 3.45
Y 0.5000 0.5000 0.5000  8 Tm 3.45
Tm 0.2500 0.2500 0.2500  4 Y 3.45, 4 Gd 3.45
Tm 0.2500 0.2500 0.7500  4 Gd 3.45, 4 Y 3.45
Tm 0.2500 0.7500 0.2500  4 Gd 3.45, 4 Y 3.45
Tm 0.2500 0.7500 0.7500  4 Y 3.45, 4 Gd 3.45
Tm 0.7500 0.2500 0.2500  4 Gd 3.45, 4 Y 3.45
Tm 0.7500 0.2500 0.7500  4 Y 3.45, 4 Gd 3.45
Tm 0.7500 0.7500 0.2500  4 Y 3.45, 4 Gd 3.45
Tm 0.7500 0.7500 0.7500  4 Gd 3.45, 4 Y 3.45

Summary:
The calculation puts the formation enthalpy at 0 K at 115 meV/atom.

Material: Gd2YTm
Method: DFT, PBE
State: optimized geometry

a b c (Å): 3.5551 3.5551 34.7646
angles (deg): 90.00 90.00 120.00
Last column: nearest neighbours and their distance in Å.
Element x y z (fractional)
Gd 0.0000 0.0000 0.2490  3 Tm 3.52, 6 Gd 3.56, 3 Y 3.58
Gd 0.0000 0.0000 0.7510  3 Tm 3.52, 6 Gd 3.56, 3 Y 3.58
Gd 0.3333 0.6667 0.4177  3 Tm 3.52, 6 Gd 3.56, 3 Y 3.58
Gd 0.3333 0.6667 0.9157  3 Tm 3.52, 6 Gd 3.56, 3 Y 3.58
Gd 0.6667 0.3333 0.0843  3 Tm 3.52, 6 Gd 3.56, 3 Y 3.58
Gd 0.6667 0.3333 0.5823  3 Tm 3.52, 6 Gd 3.56, 3 Y 3.58
Y 0.0000 0.0000 0.0000  6 Y 3.56, 6 Gd 3.58
Y 0.3333 0.6667 0.6667  6 Y 3.56, 6 Gd 3.58
Y 0.6667 0.3333 0.3333  6 Y 3.56, 6 Gd 3.58
Tm 0.0000 0.0000 0.5000  6 Gd 3.52, 6 Tm 3.56
Tm 0.3333 0.6667 0.1667  6 Gd 3.52, 6 Tm 3.56
Tm 0.6667 0.3333 0.8333  6 Gd 3.52, 6 Tm 3.56

Summary:
The calculation puts the formation enthalpy at 0 K at 29 meV/atom.

Material: GdYTm2
Method: DFT, PBE
State: optimized geometry

a b c (Å): 3.5334 3.5334 9.9818
angles (deg): 90.00 90.00 90.00
Last column: nearest neighbours and their distance in Å.
Element x y z (fractional)
Gd 0.0000 0.0000 0.0000  8 Tm 3.53, 4 Gd 3.53
Y 0.0000 0.0000 0.5000  8 Tm 3.53, 4 Y 3.53
Tm 0.5000 0.5000 0.2503  4 Y 3.53, 4 Gd 3.53, 4 Tm 3.53
Tm 0.5000 0.5000 0.7497  4 Y 3.53, 4 Gd 3.53, 4 Tm 3.53

Summary:
The calculation puts the formation enthalpy at 0 K at 31 meV/atom.

Material: Gd2YTm
Method: DFT, PBE
State: optimized geometry

a b c (Å): 5.0277 5.0277 5.0207
angles (deg): 90.00 90.00 90.00
Last column: nearest neighbours and their distance in Å.
Element x y z (fractional)
Gd 0.0000 0.5000 0.0000  4 Tm 3.55, 4 Y 3.55, 4 Gd 3.56
Gd 0.5000 0.0000 0.0000  4 Tm 3.55, 4 Y 3.55, 4 Gd 3.56
Y 0.0000 0.0000 0.5000  8 Gd 3.55, 4 Tm 3.56
Tm 0.5000 0.5000 0.5000  8 Gd 3.55, 4 Y 3.56

Summary:
The calculation puts the formation enthalpy at 0 K at 32 meV/atom.

Material: GdYTm2
Method: DFT, PBE
State: optimized geometry

a b c (Å): 3.5365 3.5365 34.5047
angles (deg): 90.00 90.00 120.00
Last column: nearest neighbours and their distance in Å.
Element x y z (fractional)
Gd 0.0000 0.0000 0.0000  6 Tm 3.53, 6 Gd 3.54
Gd 0.3333 0.6667 0.6667  6 Tm 3.53, 6 Gd 3.54
Gd 0.6667 0.3333 0.3333  6 Tm 3.53, 6 Gd 3.54
Y 0.0000 0.0000 0.5000  6 Tm 3.52, 6 Y 3.54
Y 0.3333 0.6667 0.1667  6 Tm 3.52, 6 Y 3.54
Y 0.6667 0.3333 0.8333  6 Tm 3.52, 6 Y 3.54
Tm 0.0000 0.0000 0.2498  3 Y 3.52, 3 Gd 3.53, 6 Tm 3.54
Tm 0.0000 0.0000 0.7502  3 Y 3.52, 3 Gd 3.53, 6 Tm 3.54
Tm 0.3333 0.6667 0.4169  3 Y 3.52, 3 Gd 3.53, 6 Tm 3.54
Tm 0.3333 0.6667 0.9164  3 Y 3.52, 3 Gd 3.53, 6 Tm 3.54
Tm 0.6667 0.3333 0.0836  3 Y 3.52, 3 Gd 3.53, 6 Tm 3.54
Tm 0.6667 0.3333 0.5831  3 Y 3.52, 3 Gd 3.53, 6 Tm 3.54

Summary:
The calculation puts the formation enthalpy at 0 K at 30 meV/atom.

Material: Gd2YTm
Method: DFT, PBE
State: optimized geometry

a b c (Å): 8.0096 8.0096 8.0096
angles (deg): 90.00 90.00 90.00
Last column: nearest neighbours and their distance in Å.
Element x y z (fractional)
Gd 0.2500 0.2500 0.2500  4 Tm 3.47, 4 Y 3.47
Gd 0.2500 0.2500 0.7500  4 Tm 3.47, 4 Y 3.47
Gd 0.2500 0.7500 0.2500  4 Tm 3.47, 4 Y 3.47
Gd 0.2500 0.7500 0.7500  4 Tm 3.47, 4 Y 3.47
Gd 0.7500 0.2500 0.2500  4 Tm 3.47, 4 Y 3.47
Gd 0.7500 0.2500 0.7500  4 Tm 3.47, 4 Y 3.47
Gd 0.7500 0.7500 0.2500  4 Tm 3.47, 4 Y 3.47
Gd 0.7500 0.7500 0.7500  4 Y 3.47, 4 Tm 3.47
Y 0.0000 0.0000 0.0000  8 Gd 3.47
Y 0.0000 0.5000 0.5000  8 Gd 3.47
Y 0.5000 0.0000 0.5000  8 Gd 3.47
Y 0.5000 0.5000 0.0000  8 Gd 3.47
Tm 0.0000 0.0000 0.5000  8 Gd 3.47
Tm 0.0000 0.5000 0.0000  8 Gd 3.47
Tm 0.5000 0.0000 0.0000  8 Gd 3.47
Tm 0.5000 0.5000 0.5000  8 Gd 3.47

Summary:
The calculation puts the formation enthalpy at 0 K at 100 meV/atom.

Material: GdYTm4
Method: DFT, PBE
State: optimized geometry

a b c (Å): 6.5216 6.5216 6.5216
angles (deg): 60.00 60.00 60.00
Last column: nearest neighbours and their distance in Å.
Element x y z (fractional)
Gd 0.0000 0.0000 0.0000  12 Tm 3.82, 4 Y 3.99
Y 0.7500 0.7500 0.7500  12 Tm 3.82, 4 Gd 3.99
Tm 0.3753 0.3753 0.3753  6 Tm 3.25-3.27
Tm 0.3753 0.3753 0.8740  6 Tm 3.25-3.27
Tm 0.3753 0.8740 0.3753  6 Tm 3.25-3.27
Tm 0.8740 0.3753 0.3753  6 Tm 3.25-3.27

Summary:
The calculation puts the formation enthalpy at 0 K at 231 meV/atom.

Material: Gd2YTm
Method: DFT, PBE
State: optimized geometry

a b c (Å): 3.5561 3.5561 10.0426
angles (deg): 90.00 90.00 90.00
Last column: nearest neighbours and their distance in Å.
Element x y z (fractional)
Gd 0.0000 0.0000 0.2463  4 Tm 3.53, 4 Gd 3.56, 4 Y 3.58
Gd 0.0000 0.0000 0.7537  4 Tm 3.53, 4 Gd 3.56, 4 Y 3.58
Y 0.5000 0.5000 0.5000  4 Y 3.56, 8 Gd 3.58
Tm 0.5000 0.5000 0.0000  8 Gd 3.53, 4 Tm 3.56

Summary:
The calculation puts the formation enthalpy at 0 K at 32 meV/atom.

Computed values of N(E_F) (unit: states/eV/cell) for the preceding records, in sequence: 34.5 20.5 6.4 7.7 19.1 30.5 11.3 7.5.
Computed values of E_tot (unit: eV per atom) for the preceding records, in sequence: -7.26 -9.75 -7.34 -9.74 -7.34 -9.67 -6.17 -9.74.
Computed values of ρ (unit: g/cm³) for the preceding records, in sequence: 7.7 7.5 7.8 7.5 7.8 7.4 7.8 7.5.